(i)
Computed, not measured: a geometry-optimized CsAlPdSe3 structure at the PBE level of DFT.

Unit cell a=9.302 b=3.724 c=10.912 alpha=90.00 beta=112.56 gamma=90.00
Fractional positions:
Al (0.157, 0.750, 0.097)
Al (0.843, 0.250, 0.903)
Cs (0.714, 0.750, 0.238)
Cs (0.286, 0.250, 0.762)
Pd (0.390, 0.250, 0.381)
Pd (0.610, 0.750, 0.619)
Se (0.355, 0.250, 0.131)
Se (0.993, 0.250, 0.146)
Se (0.313, 0.750, 0.487)
Se (0.687, 0.250, 0.513)
Se (0.007, 0.750, 0.854)
Se (0.645, 0.750, 0.869)

(ii)
Computed, not measured: a geometry-optimized CsAlPdSe3 structure at the PBE level of DFT.

Unit cell a=15.811 b=3.957 c=10.981 alpha=90.00 beta=90.00 gamma=90.00
Fractional positions:
Al (0.011, 0.250, 0.135)
Al (0.511, 0.250, 0.365)
Al (0.489, 0.750, 0.635)
Al (0.989, 0.750, 0.865)
Cs (0.725, 0.250, 0.040)
Cs (0.225, 0.250, 0.460)
Cs (0.775, 0.750, 0.540)
Cs (0.275, 0.750, 0.960)
Pd (0.506, 0.750, 0.084)
Pd (0.006, 0.750, 0.416)
Pd (0.994, 0.250, 0.584)
Pd (0.494, 0.250, 0.916)
Se (0.912, 0.750, 0.062)
Se (0.432, 0.250, 0.161)
Se (0.101, 0.750, 0.231)
Se (0.601, 0.750, 0.269)
Se (0.932, 0.250, 0.339)
Se (0.412, 0.750, 0.438)
Se (0.588, 0.250, 0.562)
Se (0.068, 0.750, 0.661)
Se (0.399, 0.250, 0.731)
Se (0.899, 0.250, 0.769)
Se (0.568, 0.750, 0.839)
Se (0.088, 0.250, 0.938)

What should be chosen as the most stable of them? Choose (ii).